## one
Here is W after structural relaxation from Alexandria. Energies are from GGA-PBE.

The magnetic moment comes out at 0.00 Bohr magnetons per cell.

It has space group I4_1/amd (No. 141, origin choice 2), with a = 5.126 Å, b = 5.126 Å, c = 2.685 Å, α = 90.00°, β = 90.00° and γ = 90.00°. The distinct sites, in fractional coordinates, are W at (0.000, 0.250, 0.375).

***

## two
Here is W after structural relaxation from Alexandria. Energies are from GGA-PBE.

The magnetic moment comes out at 0.00 Bohr magnetons per cell.

It has space group Cmmm (No. 65), with a = 3.003 Å, b = 4.498 Å, c = 2.605 Å, α = 90.00°, β = 90.00° and γ = 90.00°. The distinct sites, in fractional coordinates, are W at (0.000, 0.000, 0.000).

***

Short version: two is the most stable of them.

***

## one
Here is Y4W3 after structural relaxation from Alexandria. Energies are from GGA-PBE.

The magnetic moment comes out at 0.00 Bohr magnetons per cell.

It has space group I4/mmm (No. 139), with a = 3.327 Å, b = 3.327 Å, c = 31.163 Å, α = 90.00°, β = 90.00° and γ = 90.00°. The distinct sites, in fractional coordinates, are Y at (0.000, 0.000, 0.061), Y at (0.000, 0.000, 0.336), W at (0.000, 0.000, 0.229) and W at (0.000, 0.000, 0.500).

***

## two
Here is Y4W3 after structural relaxation from Alexandria. Energies are from GGA-PBE.

The magnetic moment comes out at 0.00 Bohr magnetons per cell.

It has space group P6/mmm (No. 191), with a = 5.4645 Å, b = 5.4645 Å, c = 6.2800 Å, α = 90.00°, β = 90.00° and γ = 120.00°. The distinct sites, in fractional coordinates, are Y at (0.0000, 0.0000, 0.2492), Y at (0.3333, 0.6667, 0.5000) and W at (0.0000, 0.5000, 0.0000).

***

Short version: one is the most stable of them.

***

## one
Here is Y3W2 after structural relaxation from Alexandria. Energies are from GGA-PBE.

The magnetic moment comes out at 0.00 Bohr magnetons per cell.

It has space group P-3m1 (No. 164), with a = 4.8716 Å, b = 4.8716 Å, c = 6.2871 Å, α = 90.00°, β = 90.00° and γ = 120.00°. The distinct sites, in fractional coordinates, are Y at (0.0000, 0.0000, 0.0000), Y at (0.3333, 0.6667, 0.3628) and W at (0.3333, 0.6667, 0.9154).

***

## two
Here is Y3W2 after structural relaxation from Alexandria. Energies are from GGA-PBE.

The magnetic moment comes out at 0.00 Bohr magnetons per cell.

It has space group Immm (No. 71), with a = 2.992 Å, b = 5.028 Å, c = 15.229 Å, α = 90.00°, β = 90.00° and γ = 90.00°. The distinct sites, in fractional coordinates, are Y at (0.000, 0.000, 0.000), Y at (0.000, 0.000, 0.197) and W at (0.000, 0.000, 0.414).

***

## three
Here is Y3W2 after structural relaxation from Alexandria. Energies are from GGA-PBE.

The magnetic moment comes out at 0.00 Bohr magnetons per cell.

It has space group C2/m (No. 12), with a = 7.875 Å, b = 5.138 Å, c = 6.248 Å, α = 90.00°, β = 110.19° and γ = 90.00°. The distinct sites, in fractional coordinates, are Y at (0.000, 0.000, 0.000), Y at (0.074, 0.500, 0.755) and W at (0.169, 0.000, 0.548).

***

## four
Here is Y3W2 after structural relaxation from Alexandria. Energies are from GGA-PBE.

The magnetic moment comes out at 0.00 Bohr magnetons per cell.

It has space group R-3m (No. 166, hexagonal axes), with a = 3.1866 Å, b = 3.1866 Å, c = 39.6145 Å, α = 90.00°, β = 90.00° and γ = 120.00°. The distinct sites, in fractional coordinates, are Y at (0.0000, 0.0000, 0.0000), Y at (0.0000, 0.0000, 0.2077) and W at (0.0000, 0.0000, 0.3970).

***

Short version: three is the most stable of them.

***

## one
Here is Y3W2 after structural relaxation from Alexandria. Energies are from GGA-PBE.

The magnetic moment comes out at 0.00 Bohr magnetons per cell.

It has space group I4/mmm (No. 139), with a = 3.067 Å, b = 3.067 Å, c = 24.941 Å, α = 90.00°, β = 90.00° and γ = 90.00°. The distinct sites, in fractional coordinates, are Y at (0.000, 0.000, 0.000), Y at (0.000, 0.000, 0.184) and W at (0.000, 0.000, 0.405).

***

## two
Here is Y3W2 after structural relaxation from Alexandria. Energies are from GGA-PBE.

The magnetic moment comes out at 0.00 Bohr magnetons per cell.

It has space group I4/mmm (No. 139), with a = 3.324 Å, b = 3.324 Å, c = 22.481 Å, α = 90.00°, β = 90.00° and γ = 90.00°. The distinct sites, in fractional coordinates, are Y at (0.000, 0.000, 0.000), Y at (0.000, 0.000, 0.370) and W at (0.000, 0.000, 0.221).

***

Short version: two is the most stable of them.

***

## one
Here is Y2W3 after structural relaxation from Alexandria. Energies are from GGA-PBE.

The magnetic moment comes out at 0.00 Bohr magnetons per cell.

It has space group R-3m (No. 166, hexagonal axes), with a = 3.1390 Å, b = 3.1390 Å, c = 36.3154 Å, α = 90.00°, β = 90.00° and γ = 120.00°. The distinct sites, in fractional coordinates, are Y at (0.0000, 0.0000, 0.0965), W at (0.0000, 0.0000, 0.3080) and W at (0.0000, 0.0000, 0.5000).

***

## two
Here is Y2W3 after structural relaxation from Alexandria. Energies are from GGA-PBE.

The magnetic moment comes out at 0.00 Bohr magnetons per cell.

It has space group Immm (No. 71), with a = 2.995 Å, b = 4.525 Å, c = 15.398 Å, α = 90.00°, β = 90.00° and γ = 90.00°. The distinct sites, in fractional coordinates, are Y at (0.000, 0.000, 0.186), W at (0.000, 0.000, 0.000) and W at (0.000, 0.000, 0.422).

***

Short version: two is the most stable of them.

***

## one
Here is YZn2W after structural relaxation from Alexandria. Energies are from GGA-PBE.

The magnetic moment comes out at 0.00 Bohr magnetons per cell.

It has space group Pm (No. 6), with a = 2.988 Å, b = 4.338 Å, c = 5.791 Å, α = 90.00°, β = 104.42° and γ = 90.00°. The distinct sites, in fractional coordinates, are Y at (0.000, 0.000, 0.000), Zn at (0.621, 0.500, 0.248), Zn at (0.741, 0.000, 0.498) and W at (0.336, 0.500, 0.676).

***

## two
Here is YZn2W after structural relaxation from Alexandria. Energies are from GGA-PBE.

The magnetic moment comes out at 1.39 Bohr magnetons per cell.

It has space group R3m (No. 160, hexagonal axes), with a = 2.9742 Å, b = 2.9742 Å, c = 28.9551 Å, α = 90.00°, β = 90.00° and γ = 120.00°. The distinct sites, in fractional coordinates, are Y at (0.0000, 0.0000, 0.0000), Zn at (0.0000, 0.0000, 0.2422), Zn at (0.0000, 0.0000, 0.5009) and W at (0.0000, 0.0000, 0.7591).

***

## three
Here is YZn2W after structural relaxation from Alexandria. Energies are from GGA-PBE.

The magnetic moment comes out at 3.78 Bohr magnetons per cell.

It has space group Fm-3m (No. 225), with a = 6.626 Å, b = 6.626 Å, c = 6.626 Å, α = 90.00°, β = 90.00° and γ = 90.00°. The distinct sites, in fractional coordinates, are Y at (0.000, 0.000, 0.000), Zn at (0.250, 0.250, 0.250) and W at (0.000, 0.000, 0.500).

***

Short version: one is the most stable of them.

***

## one
Here is YZn2W after structural relaxation from Alexandria. Energies are from GGA-PBE.

The magnetic moment comes out at 0.00 Bohr magnetons per cell.

It has space group P2/m (No. 10), with a = 5.131 Å, b = 2.942 Å, c = 5.328 Å, α = 90.00°, β = 111.45° and γ = 90.00°. The distinct sites, in fractional coordinates, are Y at (0.000, 0.000, 0.000), Zn at (0.500, 0.000, 0.500), Zn at (0.500, 0.500, 0.000) and W at (0.000, 0.500, 0.500).

***

## two
Here is YZn2W after structural relaxation from Alexandria. Energies are from GGA-PBE.

The magnetic moment comes out at 0.00 Bohr magnetons per cell.

It has space group P2/m (No. 10), with a = 2.983 Å, b = 3.898 Å, c = 6.190 Å, α = 90.00°, β = 90.10° and γ = 90.00°. The distinct sites, in fractional coordinates, are Y at (0.000, 0.000, 0.000), Zn at (0.500, 0.500, 0.292) and W at (0.000, 0.000, 0.500).

***

## three
Here is YZn2W after structural relaxation from Alexandria. Energies are from GGA-PBE.

The magnetic moment comes out at 0.00 Bohr magnetons per cell.

It has space group P4/mmm (No. 123), with a = 2.930 Å, b = 2.930 Å, c = 8.266 Å, α = 90.00°, β = 90.00° and γ = 90.00°. The distinct sites, in fractional coordinates, are Y at (0.000, 0.000, 0.000), Zn at (0.500, 0.500, 0.273) and W at (0.000, 0.000, 0.500).

***

## four
Here is YZn2W after structural relaxation from Alexandria. Energies are from GGA-PBE.

The magnetic moment comes out at 0.00 Bohr magnetons per cell.

It has space group C2/m (No. 12), with a = 6.040 Å, b = 7.993 Å, c = 2.936 Å, α = 90.00°, β = 90.14° and γ = 90.00°. The distinct sites, in fractional coordinates, are Y at (0.000, 0.000, 0.000), Zn at (0.250, 0.250, 0.500) and W at (0.000, 0.500, 0.000).

***

Short version: two is the most stable of them.

***

## one
Here is YZn2W after structural relaxation from Alexandria. Energies are from GGA-PBE.

The magnetic moment comes out at 0.00 Bohr magnetons per cell.

It has space group I-42d (No. 122), with a = 4.307 Å, b = 4.307 Å, c = 18.645 Å, α = 90.00°, β = 90.00° and γ = 90.00°. The distinct sites, in fractional coordinates, are Y at (0.000, 0.000, 0.000), Zn at (0.142, 0.250, 0.625) and W at (0.000, 0.000, 0.500).

***

## two
Here is YZn2W after structural relaxation from Alexandria. Energies are from GGA-PBE.

The magnetic moment comes out at 0.00 Bohr magnetons per cell.

It has space group P4/mmm (No. 123), with a = 4.293 Å, b = 4.293 Å, c = 3.949 Å, α = 90.00°, β = 90.00° and γ = 90.00°. The distinct sites, in fractional coordinates, are Y at (0.000, 0.000, 0.000), Zn at (0.000, 0.500, 0.500) and W at (0.500, 0.500, 0.000).

***

## three
Here is YZn2W after structural relaxation from Alexandria. Energies are from GGA-PBE.

The magnetic moment comes out at 0.00 Bohr magnetons per cell.

It has space group C2/m (No. 12), with a = 9.542 Å, b = 2.935 Å, c = 5.485 Å, α = 90.00°, β = 99.22° and γ = 90.00°. The distinct sites, in fractional coordinates, are Y at (0.000, 0.000, 0.000), Zn at (0.239, 0.000, 0.695) and W at (0.000, 0.500, 0.500).

***

Short version: two is the most stable of them.

***

## one
Here is YZn2W after structural relaxation from Alexandria. Energies are from GGA-PBE.

The magnetic moment comes out at 0.81 Bohr magnetons per cell.

It has space group R-3m (No. 166, hexagonal axes), with a = 2.9573 Å, b = 2.9573 Å, c = 29.1063 Å, α = 90.00°, β = 90.00° and γ = 120.00°. The distinct sites, in fractional coordinates, are Y at (0.0000, 0.0000, 0.0000), Zn at (0.0000, 0.0000, 0.2424) and W at (0.0000, 0.0000, 0.5000).

***

## two
Here is YZn2W after structural relaxation from Alexandria. Energies are from GGA-PBE.

The magnetic moment comes out at 1.06 Bohr magnetons per cell.

It has space group I4/mmm (No. 139), with a = 4.297 Å, b = 4.297 Å, c = 7.825 Å, α = 90.00°, β = 90.00° and γ = 90.00°. The distinct sites, in fractional coordinates, are Y at (0.000, 0.000, 0.000), Zn at (0.000, 0.500, 0.250) and W at (0.000, 0.000, 0.500).

***

## three
Here is YZn2W after structural relaxation from Alexandria. Energies are from GGA-PBE.

The magnetic moment comes out at 0.00 Bohr magnetons per cell.

It has space group I-4m2 (No. 119), with a = 4.018 Å, b = 4.018 Å, c = 9.101 Å, α = 90.00°, β = 90.00° and γ = 90.00°. The distinct sites, in fractional coordinates, are Y at (0.000, 0.000, 0.000), Zn at (0.000, 0.000, 0.500), Zn at (0.000, 0.500, 0.750) and W at (0.000, 0.500, 0.250).

***

## four
Here is YZn2W after structural relaxation from Alexandria. Energies are from GGA-PBE.

The magnetic moment comes out at 0.00 Bohr magnetons per cell.

It has space group Cm (No. 8), with a = 10.830 Å, b = 3.035 Å, c = 4.951 Å, α = 90.00°, β = 117.16° and γ = 90.00°. The distinct sites, in fractional coordinates, are Y at (0.000, 0.000, 0.000), Zn at (0.270, 0.500, 0.272), Zn at (0.489, 0.000, 0.489) and W at (0.230, 0.000, 0.732).

***

Short version: two is the most stable of them.

***

## one
Here is YZnW after structural relaxation from Alexandria. Energies are from GGA-PBE.

The magnetic moment comes out at 0.17 Bohr magnetons per cell.

It has space group P3m1 (No. 156), with a = 3.0050 Å, b = 3.0050 Å, c = 7.4655 Å, α = 90.00°, β = 90.00° and γ = 120.00°. The distinct sites, in fractional coordinates, are Y at (0.0000, 0.0000, 0.0000), Zn at (0.6667, 0.3333, 0.3541) and W at (0.3333, 0.6667, 0.6467).

***

## two
Here is YZnW after structural relaxation from Alexandria. Energies are from GGA-PBE.

The magnetic moment comes out at 0.00 Bohr magnetons per cell.

It has space group I4mm (No. 107), with a = 2.932 Å, b = 2.932 Å, c = 13.309 Å, α = 90.00°, β = 90.00° and γ = 90.00°. The distinct sites, in fractional coordinates, are Y at (0.000, 0.000, 0.000), Zn at (0.000, 0.000, 0.323) and W at (0.000, 0.000, 0.681).

***

Short version: two is the most stable of them.

***

## one
Here is YZrW after structural relaxation from Alexandria. Energies are from GGA-PBE.

The magnetic moment comes out at 0.00 Bohr magnetons per cell.

It has space group I4mm (No. 107), with a = 3.509 Å, b = 3.509 Å, c = 11.299 Å, α = 90.00°, β = 90.00° and γ = 90.00°. The distinct sites, in fractional coordinates, are Y at (0.000, 0.000, 0.000), Zr at (0.000, 0.000, 0.285) and W at (0.000, 0.000, 0.670).

***

## two
Here is YZrW after structural relaxation from Alexandria. Energies are from GGA-PBE.

The magnetic moment comes out at 0.00 Bohr magnetons per cell.

It has space group P3m1 (No. 156), with a = 4.9375 Å, b = 4.9375 Å, c = 3.0970 Å, α = 90.00°, β = 90.00° and γ = 120.00°. The distinct sites, in fractional coordinates, are Y at (0.0000, 0.0000, 0.0000), Zr at (0.6667, 0.3333, 0.4110) and W at (0.3333, 0.6667, 0.6071).

***

Short version: one is the most stable of them.